Entry 1:
! InSe2Cl (PBE-GGA, relaxed); values from VASP
! **Total DFT energy (no corrections)**: -0.102 hartree per atom
! **Magnetization**: 0.000 μB/atom
! **Uncorrected formation energy**: 0.118 eV/atom
! **D(E_F)**: 5.00 states/eV per cell
&SYSTEM
  ibrav = 0, nat = 4, ntyp = 3
/
ATOMIC_SPECIES
Cl 35.45 Cl.upf
In 114.82 In.upf
Se 78.96 Se.upf
CELL_PARAMETERS angstrom
-2.887 -0.207 4.113
4.109 -0.526 2.852
-0.390 3.902 -3.149
ATOMIC_POSITIONS crystal
Cl 0.500 0.500 0.000
In 0.750 0.250 0.500
Se 0.000 0.000 0.000
Se 0.250 0.750 0.500


Entry 2:
! InSeCl (PBE-GGA, relaxed); values from VASP
! **Total DFT energy (no corrections)**: -0.090 hartree per atom
! **Magnetization**: 0.672 μB/atom
! **Uncorrected formation energy**: 0.246 eV/atom
! **D(E_F)**: 3.35 states/eV per cell
&SYSTEM
  ibrav = 0, nat = 3, ntyp = 3
/
ATOMIC_SPECIES
Cl 35.45 Cl.upf
In 114.82 In.upf
Se 78.96 Se.upf
CELL_PARAMETERS angstrom
5.162 0.000 0.000
2.581 4.471 0.000
2.581 1.490 4.215
ATOMIC_POSITIONS crystal
Cl 0.750 0.750 0.750
In 0.000 0.000 0.000
Se 0.500 0.500 0.500


Entry 3:
! InSe2Cl (PBE-GGA, relaxed); values from VASP
! **Total DFT energy (no corrections)**: -0.116 hartree per atom
! **Magnetization**: 0.000 μB/atom
! **Uncorrected formation energy**: -0.270 eV/atom
! **D(E_F)**: 0.71 states/eV per cell
&SYSTEM
  ibrav = 0, nat = 4, ntyp = 3
/
ATOMIC_SPECIES
Cl 35.45 Cl.upf
In 114.82 In.upf
Se 78.96 Se.upf
CELL_PARAMETERS angstrom
-1.735 0.952 -3.023
-3.129 0.037 1.808
1.277 8.772 2.029
ATOMIC_POSITIONS crystal
Cl 0.000 0.000 0.546
In 0.500 0.500 0.710
Se 0.000 0.000 0.079
Se 0.500 0.500 0.164